This record from the Alexandria database describes a relaxed LiNd2SiPd6 crystal. The functional is PBE.

a = 6.4101 Å, b = 6.4101 Å, c = 7.9978 Å
α = 126.47°, β = 126.47°, γ = 51.66°
With the nearest neighbours (Å) after each atom.
Atoms (fractional coordinates):
Li1 0.0000 0.0000 0.0000  6 Pd 2.48-2.50
Nd1 0.2589 0.2589 0.7874  7 Pd 3.01-3.13
Nd2 0.7411 0.7411 0.2126  7 Pd 3.01-3.13
Si1 0.5000 0.5000 0.5000  6 Pd 2.38-2.42
Pd1 0.2366 0.7434 0.2517  1 Si 2.38, 1 Li 2.50
Pd2 0.2483 0.2483 0.3902  1 Si 2.42, 1 Li 2.48
Pd3 0.2566 0.7634 0.7483  1 Si 2.38, 1 Li 2.50
Pd4 0.7434 0.2366 0.2517  1 Si 2.38, 1 Li 2.50
Pd5 0.7517 0.7517 0.6098  1 Si 2.42, 1 Li 2.48
Pd6 0.7634 0.2566 0.7483  1 Si 2.38, 1 Li 2.50

Crystal system: monoclinic
ΔE_f (raw) in kJ/mol of formula units: -613
Electronic total energy in eV for the cell shown: -54.38